[1]
Computed, not measured: an optimized crystal structure of LiSnHg3 at the PBEsol level of DFT.

Properties
E: -1.480 eV per atom
space-group type: Pm-3m (221)
crystal system: cubic

POSCAR file:
```
LiSnHg3
1.0
4.871 0.000 0.000
0.000 4.871 0.000
0.000 0.000 4.871
Hg Sn Li
3 1 1
Cartesian
2.436 0.000 0.000 Hg
0.000 2.436 0.000 Hg
0.000 0.000 2.436 Hg
2.436 2.436 2.436 Sn
0.000 0.000 0.000 Li
```

***

[2]
Computed, not measured: an optimized crystal structure of ZrCuAs3 at the PBEsol level of DFT.

Properties
E: -5.443 eV per atom
space-group type: Pm-3m (221)
crystal system: cubic

POSCAR file:
```
ZrCuAs3
1.0
-1.839 4.204 0.320
-1.196 -0.856 4.358
4.043 1.660 1.435
As Cu Zr
3 1 1
Cartesian
-0.920 2.102 0.160 As
2.021 0.830 0.718 As
-0.598 -0.428 2.179 As
0.000 0.000 0.000 Cu
0.504 2.504 3.057 Zr
```

***

[3]
Computed, not measured: an optimized crystal structure of PrV2IO9 at the PBEsol level of DFT.

Properties
E_form (uncorrected): -2.088 eV per atom
space-group type: Pbcm (57)
crystal system: orthorhombic

POSCAR file:
```
PrV2IO9
1.0
6.995 0.000 0.000
0.000 7.204 0.000
0.000 0.000 14.494
O I V Pr
36 4 8 4
Cartesian
2.293 0.307 9.533 O
4.702 6.897 4.961 O
5.783 4.110 14.343 O
1.212 6.696 7.096 O
4.702 0.307 2.286 O
3.694 5.403 7.300 O
6.919 1.801 10.051 O
3.301 1.801 7.194 O
6.451 1.801 12.671 O
3.702 1.801 11.287 O
0.544 1.801 5.424 O
5.783 0.508 7.398 O
3.301 5.403 0.053 O
1.826 0.000 3.623 O
6.919 5.403 11.689 O
1.212 0.508 0.151 O
5.169 0.000 10.870 O
3.702 5.403 10.454 O
5.783 6.696 14.343 O
2.293 3.909 12.208 O
1.212 3.094 0.151 O
3.293 1.801 4.040 O
2.293 6.897 12.208 O
0.075 1.801 2.804 O
3.293 5.403 3.207 O
0.075 5.403 4.443 O
0.544 5.403 1.823 O
4.702 3.295 2.286 O
4.702 3.909 4.961 O
2.293 3.295 9.533 O
6.451 5.403 9.070 O
3.694 1.801 14.441 O
1.212 4.110 7.096 O
5.169 3.602 10.870 O
5.783 3.094 7.398 O
1.826 3.602 3.623 O
2.077 1.801 13.651 I
4.918 1.801 6.404 I
4.918 5.403 0.843 I
2.077 5.403 8.090 I
5.731 1.801 11.179 V
1.264 1.801 3.932 V
3.237 3.602 10.870 V
1.264 5.403 3.314 V
5.731 5.403 10.561 V
3.758 3.602 3.623 V
3.758 0.000 3.623 V
3.237 0.000 10.870 V
1.022 5.403 13.824 Pr
1.022 1.801 7.917 Pr
5.973 5.403 6.577 Pr
5.973 1.801 0.670 Pr
```

***

[4]
Computed, not measured: an optimized crystal structure of SrBeGe at the PBEsol level of DFT.

Properties
E: -3.969 eV per atom
space-group type: P-6m2 (187)
crystal system: hexagonal

POSCAR file:
```
SrBeGe
1.0
4.024 0.000 0.000
-2.012 3.485 0.000
0.000 0.000 4.572
Sr Ge Be
1 1 1
Cartesian
0.000 2.323 2.286 Sr
2.012 1.162 0.000 Ge
0.000 0.000 0.000 Be
```

***

[5]
Computed, not measured: an optimized crystal structure of Sr5Bi3O12 at the PBEsol level of DFT.

Properties
E_form (uncorrected): -1.999 eV per atom
space-group type: P-1 (2)
crystal system: triclinic

POSCAR file:
```
Sr5Bi3O12
1.0
-1.090 5.344 2.366
-4.255 -2.479 3.645
5.857 -1.410 5.968
O Bi Sr
12 3 5
Cartesian
-1.277 0.389 4.410 O
1.789 1.067 7.569 O
-3.464 2.481 4.615 O
-0.394 -1.210 6.899 O
-0.753 1.365 9.934 O
1.838 -1.535 9.306 O
-1.326 2.991 2.673 O
3.976 -1.025 7.364 O
-1.378 1.840 7.070 O
0.905 2.665 5.081 O
1.265 0.090 2.045 O
1.890 -0.385 4.909 O
2.929 -0.705 2.984 Bi
0.256 0.728 5.990 Bi
-2.673 1.433 3.005 Bi
0.000 0.000 0.000 Sr
-3.171 0.036 6.132 Sr
3.683 1.420 5.847 Sr
-1.556 3.807 5.399 Sr
2.068 -2.351 6.580 Sr
```

***

[6]
Computed, not measured: an optimized crystal structure of Nb7B4C4 at the PBEsol level of DFT.

Properties
E: -10.197 eV per atom
space-group type: Immm (71)
crystal system: orthorhombic

POSCAR file:
```
Nb7B4C4
1.0
-0.128 -3.034 -0.801
3.196 -0.047 -0.332
0.020 -2.625 16.093
C Nb B
4 7 4
Cartesian
0.393 -2.743 4.170 C
2.267 -1.817 6.518 C
0.821 -3.889 8.441 C
2.694 -2.963 10.790 C
0.189 -2.197 2.133 Nb
2.057 -1.253 4.418 Nb
0.602 -3.303 6.258 Nb
0.000 0.000 0.000 Nb
2.485 -2.403 8.702 Nb
2.898 -3.510 12.827 Nb
1.031 -4.453 10.542 Nb
1.466 -3.929 14.645 B
1.777 -0.503 1.620 B
1.311 -5.204 13.340 B
1.622 -1.777 0.315 B
```

***

[7]
Computed, not measured: an optimized crystal structure of Al2CuAu2 at the PBEsol level of DFT.

Properties
E: -3.980 eV per atom
space-group type: I4/mmm (139)
crystal system: tetragonal

POSCAR file:
```
Al2CuAu2
1.0
-1.280 -2.249 -2.703
3.501 -1.081 -0.759
-1.654 -3.008 5.877
Cu Al Au
1 2 2
Cartesian
0.000 0.000 0.000 Cu
-0.436 -3.750 3.328 Al
1.003 -2.587 -0.912 Al
1.479 -2.877 1.694 Au
-0.912 -3.461 0.722 Au
```

***

[8]
Computed, not measured: an optimized crystal structure of BaNaGaF6 at the PBEsol level of DFT.

Properties
E_form (uncorrected): -3.154 eV per atom
space-group type: Pna2_1 (33)
crystal system: orthorhombic

POSCAR file:
```
BaNaGaF6
1.0
-4.422 2.386 2.243
-1.554 -8.119 5.572
10.818 7.263 13.600
Na Ga F Ba
8 8 48 8
Cartesian
1.896 1.003 6.136 Na
6.652 7.426 15.104 Na
7.365 4.602 12.906 Na
1.089 3.877 8.382 Na
3.000 0.812 15.083 Na
-2.468 -2.787 8.314 Na
4.106 -0.499 11.765 Na
-1.456 -4.047 5.042 Na
4.681 6.420 12.571 Ga
1.088 -0.747 12.768 Ga
5.982 1.078 14.068 Ga
-0.696 2.771 5.755 Ga
-4.514 -4.274 6.066 Ga
9.325 5.643 15.459 Ga
3.723 2.116 8.758 Ga
0.605 -2.570 7.252 Ga
1.967 -0.079 4.072 F
0.098 1.928 7.282 F
0.863 -0.251 14.573 F
7.532 5.086 15.292 F
4.808 3.718 18.701 F
-0.995 -2.050 6.405 F
-0.253 -2.429 8.946 F
-3.934 -2.466 6.329 F
6.256 0.588 12.270 F
5.760 6.399 17.191 F
1.400 -0.993 10.886 F
-1.232 -6.509 5.350 F
2.001 1.877 9.554 F
4.862 5.907 14.409 F
7.160 2.561 14.038 F
5.483 2.571 8.174 F
3.691 3.829 9.634 F
4.746 -0.386 14.125 F
3.748 0.578 7.668 F
2.352 0.692 12.684 F
-1.304 -2.156 3.668 F
2.114 -3.341 8.166 F
-0.111 -2.215 12.833 F
5.604 1.326 15.940 F
4.479 1.273 10.278 F
1.275 -0.813 7.480 F
5.238 4.706 11.957 F
2.890 5.719 12.667 F
3.018 2.355 16.830 F
1.035 3.044 4.997 F
2.527 -1.987 12.987 F
2.901 2.984 7.258 F
-2.921 -4.760 6.948 F
-0.768 4.318 6.828 F
-0.018 -4.365 6.998 F
-0.369 0.379 12.266 F
0.284 -0.882 1.818 F
8.291 5.679 10.859 F
-2.990 -4.537 9.782 F
-0.600 1.052 4.893 F
9.187 6.142 13.613 F
-2.720 -0.337 7.940 F
5.673 1.214 19.443 F
6.483 6.955 12.694 F
7.184 2.853 17.978 F
2.896 -1.162 16.341 F
-2.071 0.097 2.462 F
4.536 2.297 13.803 F
7.223 -0.012 17.472 Ba
1.714 -3.589 10.723 Ba
2.762 3.209 12.003 Ba
5.870 5.191 9.220 Ba
0.327 1.632 2.488 Ba
5.289 3.940 16.153 Ba
-2.747 -0.368 5.254 Ba
-0.255 0.381 9.421 Ba
```

***

[9]
Computed, not measured: an optimized crystal structure of LiZnIr2 at the PBEsol level of DFT.

Properties
E: -5.974 eV per atom
space-group type: C2/m (12)
crystal system: monoclinic

POSCAR file:
```
LiZnIr2
1.0
2.703 0.000 0.000
-1.352 4.274 0.012
0.000 -0.836 4.609
Ir Li Zn
2 1 1
Cartesian
0.000 1.875 1.189 Ir
1.352 1.564 3.432 Ir
0.000 -0.418 2.305 Li
1.352 0.000 0.000 Zn
```

***

[10]
Computed, not measured: an optimized crystal structure of LaMo6Se4S4 at the PBEsol level of DFT.

Properties
E_form (uncorrected): -0.922 eV per atom
space-group type: P1 (1)
crystal system: triclinic

POSCAR file:
```
LaMo6Se4S4
1.0
-6.556 -0.152 -0.381
0.430 -2.693 -5.985
0.151 -6.006 2.821
Se S Mo La
4 4 6 1
Cartesian
-3.925 -1.452 -1.319 Se
-1.136 -4.629 -4.276 Se
-5.422 -6.386 -1.937 Se
-2.051 -7.376 -2.219 Se
-4.713 -4.186 0.685 S
-1.381 -5.193 0.579 S
-4.622 -3.625 -4.097 S
-0.630 -2.589 -1.566 S
-2.605 -3.012 -2.958 Mo
-3.425 -5.511 -3.273 Mo
-2.575 -3.323 -0.278 Mo
-3.386 -5.812 -0.553 Mo
-4.819 -3.825 -1.727 Mo
-1.196 -4.997 -1.783 Mo
-6.345 -6.193 2.342 La
```

***

[11]
Computed, not measured: an optimized crystal structure of CuP2SCl at the PBEsol level of DFT.

Properties
E_form (uncorrected): 0.812 eV per atom
space-group type: P4/mmm (123)
crystal system: tetragonal

POSCAR file:
```
CuP2SCl
1.0
-3.226 2.793 0.660
-2.328 -3.221 2.251
1.948 1.325 3.912
P Cu S Cl
2 1 1 1
Cartesian
0.974 0.663 1.956 P
-1.164 -1.610 1.125 P
0.000 0.000 0.000 Cu
-1.613 1.397 0.330 S
-1.803 0.449 3.412 Cl
```

***

[12]
Computed, not measured: an optimized crystal structure of Y2BeZnSe at the PBEsol level of DFT.

Properties
E_form (uncorrected): -0.227 eV per atom
space-group type: P4/mmm (123)
crystal system: tetragonal

POSCAR file:
```
Y2BeZnSe
1.0
-2.854 -2.151 -1.810
3.369 -1.160 -3.934
1.588 -4.325 2.636
Zn Se Y Be
1 1 2 1
Cartesian
0.000 0.000 0.000 Zn
1.051 -3.818 -1.554 Se
0.794 -2.163 1.318 Y
1.685 -0.580 -1.967 Y
-1.427 -1.075 -0.905 Be
```